Record 1
SmZnCd: relaxed, PBE-GGA.

Lattice parameters (Å, degrees): 4.7628 4.7628 4.7628 60.00 60.00 60.00
Positions (direct):
Sm (0.0000, 0.0000, 0.0000)
Zn (0.2500, 0.2500, 0.2500)
Cd (0.5000, 0.5000, 0.5000)

Computed properties:
- Fermi-level density of states: 4.4 states/eV per cell
- E_form: -0.196 eV per atom
- Crystal system: cubic

---

Record 2
Sm7Zn4Cd: relaxed, PBE-GGA.

Lattice parameters (Å, degrees): 7.6370 7.6370 9.1547 117.27 117.27 44.29
Positions (direct):
Sm (0.0000, 0.0000, 0.0000)
Sm (0.2234, 0.2234, 0.6825)
Sm (0.3151, 0.3151, 0.1216)
Sm (0.4248, 0.4248, 0.5941)
Sm (0.5752, 0.5752, 0.4059)
Sm (0.6849, 0.6849, 0.8784)
Sm (0.7766, 0.7766, 0.3175)
Zn (0.0157, 0.0157, 0.6740)
Zn (0.1869, 0.1869, 0.3360)
Zn (0.8131, 0.8131, 0.6640)
Zn (0.9843, 0.9843, 0.3260)
Cd (0.5000, 0.5000, 0.0000)

Computed properties:
- Fermi-level density of states: 12.0 states/eV per cell
- E_form: -0.093 eV per atom
- Crystal system: monoclinic

---

Record 3
Sm6ZnCd5: relaxed, PBE-GGA.

Lattice parameters (Å, degrees): 8.4415 8.4415 7.6237 90.00 90.00 143.16
Positions (direct):
Sm (0.0000, 0.0000, 0.2406)
Sm (0.0000, 0.0000, 0.7594)
Sm (0.3374, 0.6626, 0.2453)
Sm (0.3374, 0.6626, 0.7547)
Sm (0.6626, 0.3374, 0.2453)
Sm (0.6626, 0.3374, 0.7547)
Zn (0.5000, 0.5000, 0.0000)
Cd (0.1682, 0.8318, 0.5000)
Cd (0.1698, 0.8302, 0.0000)
Cd (0.5000, 0.5000, 0.5000)
Cd (0.8302, 0.1698, 0.0000)
Cd (0.8318, 0.1682, 0.5000)

Computed properties:
- Fermi-level density of states: 15.0 states/eV per cell
- E_form: -0.311 eV per atom
- Crystal system: orthorhombic

---

Record 4
Sm2Zn9Cd: relaxed, PBE-GGA.

Lattice parameters (Å, degrees): 9.0211 9.0211 9.0211 36.10 36.10 36.10
Positions (direct):
Sm (0.1397, 0.1397, 0.1397)
Sm (0.8603, 0.8603, 0.8603)
Zn (0.0773, 0.5849, 0.5849)
Zn (0.3349, 0.3349, 0.3349)
Zn (0.4151, 0.4151, 0.9227)
Zn (0.4151, 0.9227, 0.4151)
Zn (0.5000, 0.5000, 0.5000)
Zn (0.5849, 0.0773, 0.5849)
Zn (0.5849, 0.5849, 0.0773)
Zn (0.6651, 0.6651, 0.6651)
Zn (0.9227, 0.4151, 0.4151)
Cd (0.0000, 0.0000, 0.0000)

Computed properties:
- Fermi-level density of states: 8.0 states/eV per cell
- E_form: -0.127 eV per atom
- Crystal system: trigonal

---

| no. | electronic total energy (eV per atom) |
| --- | --- |
| 1 | -2.498 |
| 2 | -3.347 |
| 3 | -3.158 |
| 4 | -1.945 |